# 1
Computed, not measured: a relaxed Nd2ErIr2 crystal at the PBE-GGA level of DFT.

Its magnetization is 0.00 μB/cell. The value obtained for the formation enthalpy at 0 K is -0.646 eV per atom.

Cell: 12.4395 4.1572 11.1268 Å, 90.00 120.01 90.00°
Space group C2/m (No. 12)
Unique sites:
1 Nd 0.0378 0.0000 0.1955 x4
2 Nd 0.1704 0.0000 0.5899 x4
3 Er 0.2052 0.5000 0.8674 x4
4 Ir 0.0228 0.5000 0.3894 x4
5 Ir 0.1287 0.5000 0.0728 x4

---

# 2
Computed, not measured: a relaxed NdErIr crystal at the PBE-GGA level of DFT.

Its magnetization is 0.00 μB/cell. The value obtained for the formation enthalpy at 0 K is -0.580 eV per atom.

Cell: 6.4519 6.4578 8.0189 Å, 90.00 113.71 90.00°
Space group C2/m (No. 12)
Unique sites:
1 Nd 0.1860 0.0000 0.3713 x4
2 Er 0.2500 0.2500 0.0000 x4
3 Ir 0.1238 0.5000 0.2475 x4

---

# 3
Computed, not measured: a relaxed Nd2Er3Ir2 crystal at the PBE-GGA level of DFT.

Its magnetization is 0.00 μB/cell. The value obtained for the formation enthalpy at 0 K is -0.608 eV per atom.

Cell: 12.2515 3.8173 9.0201 Å, 90.00 117.06 90.00°
Space group C2/m (No. 12)
Unique sites:
1 Nd 0.1651 0.0000 0.3054 x4
2 Er 0.0000 0.5000 0.5000 x2
3 Er 0.1208 0.5000 0.9311 x4
4 Ir 0.1709 0.0000 0.7411 x4

---

# 4
Computed, not measured: a relaxed NdErIr4 crystal at the PBE-GGA level of DFT.

Its magnetization is 0.00 μB/cell. The value obtained for the formation enthalpy at 0 K is -0.751 eV per atom.

Cell: 7.6255 7.6255 7.6255 Å, 90.00 90.00 90.00°
Space group F-43m (No. 216)
Unique sites:
1 Nd 0.0000 0.0000 0.0000 x4
2 Er 0.2500 0.2500 0.2500 x4
3 Ir 0.1248 0.1248 0.6248 x16

---

# 5
Computed, not measured: a relaxed Nd2ErIr9 crystal at the PBE-GGA level of DFT.

Its magnetization is 0.00 μB/cell. The value obtained for the formation enthalpy at 0 K is -0.516 eV per atom.

Cell: 5.3386 5.3386 26.6632 Å, 90.00 90.00 120.00°
Space group R-3m (No. 166, hexagonal axes)
Unique sites:
1 Nd 0.0000 0.0000 0.1392 x6
2 Er 0.0000 0.0000 0.0000 x3
3 Ir 0.0000 0.0000 0.3322 x6
4 Ir 0.0000 0.0000 0.5000 x3
5 Ir 0.0028 0.5014 0.0805 x18

---

# 6
Computed, not measured: a relaxed NdEr2Ir9 crystal at the PBE-GGA level of DFT.

Its magnetization is 0.00 μB/cell. The value obtained for the formation enthalpy at 0 K is -0.583 eV per atom.

Cell: 5.3291 5.3291 26.2227 Å, 90.00 90.00 120.00°
Space group R-3m (No. 166, hexagonal axes)
Unique sites:
1 Nd 0.0000 0.0000 0.0000 x3
2 Er 0.0000 0.0000 0.1396 x6
3 Ir 0.0000 0.0000 0.3331 x6
4 Ir 0.0000 0.0000 0.5000 x3
5 Ir 0.9998 0.4999 0.0828 x18

---

# 7
Computed, not measured: a relaxed Nd3ErIr8 crystal at the PBE-GGA level of DFT.

Its magnetization is 0.00 μB/cell. The value obtained for the formation enthalpy at 0 K is -0.723 eV per atom.

Cell: 5.4181 5.4181 26.5204 Å, 90.00 90.00 120.00°
Space group R3m (No. 160, hexagonal axes)
Unique sites:
1 Nd 0.0000 0.0000 0.0000 x3
2 Nd 0.0000 0.0000 0.1252 x3
3 Nd 0.0000 0.0000 0.5009 x3
4 Er 0.0000 0.0000 0.6256 x3
5 Ir 0.0000 0.0000 0.3127 x3
6 Ir 0.0000 0.0000 0.8128 x3
7 Ir 0.0007 0.5003 0.5638 x9
8 Ir 0.1672 0.3345 0.3952 x9

---

# 8
Computed, not measured: a relaxed Nd2ErIr crystal at the PBE-GGA level of DFT.

Its magnetization is 0.00 μB/cell. The value obtained for the formation enthalpy at 0 K is -0.403 eV per atom.

Cell: 6.8496 6.4186 11.6371 Å, 90.00 90.00 90.00°
Space group Pnna (No. 52)
Unique sites:
1 Nd 0.0889 0.2487 0.0866 x8
2 Er 0.0724 0.2500 0.7500 x4
3 Ir 0.2500 0.0000 0.9071 x4

---

Look up the formation enthalpy at 0 K of the first one.
-0.646 eV per atom